Entry 1:
The following is a PBE calculation of a geometry-optimized Cd4Te6Cl6O13 structure, from OQMD via LeMat-Bulk.

The symmetry is P-1 (2).

a = 7.9126 Å, b = 9.8298 Å, c = 13.9802 Å
α = 75.69°, β = 74.16°, γ = 90.11°
With the nearest neighbours (Å) after each atom.
Sites, in units of the cell vectors:
Cl (0.1789, 0.0387, 0.8823)  3 Cd 2.61-2.83
Cl (0.4807, 0.8045, 0.7835)  1 Cd 2.53
Cl (0.0270, 0.2170, 0.2083)  1 Cd 2.55
Cl (0.8903, 0.3295, 0.9686)  2 Cd 2.60
Cl (0.3920, 0.3337, 0.9678)  2 Cd 2.60-2.62
Cl (0.8211, 0.9613, 0.1177)  3 Cd 2.61-2.83
Cl (0.6823, 0.0373, 0.8869)  3 Cd 2.60-2.79
Cl (0.1097, 0.6705, 0.0314)  2 Cd 2.60
Cl (0.9730, 0.7830, 0.7917)  1 Cd 2.55
Cl (0.3177, 0.9627, 0.1131)  3 Cd 2.60-2.79
Cl (0.6080, 0.6663, 0.0322)  2 Cd 2.60-2.62
Cl (0.5193, 0.1955, 0.2165)  1 Cd 2.53
Cd (0.1101, 0.1592, 0.0338)  6 Cl 2.55-2.79
Cd (0.0989, 0.6466, 0.5342)  7 O 2.36-2.51
Cd (0.9011, 0.3534, 0.4658)  7 O 2.36-2.51
Cd (0.3938, 0.8395, 0.9637)  6 Cl 2.53-2.83
Cd (0.8899, 0.8408, 0.9662)  6 Cl 2.55-2.79
Cd (0.6062, 0.1605, 0.0363)  6 Cl 2.53-2.83
Cd (0.4041, 0.3505, 0.4607)  6 O 2.32-2.56
Cd (0.5959, 0.6495, 0.5393)  6 O 2.32-2.56
O (0.1984, 0.3298, 0.3731)  1 Te 1.88
O (0.2987, 0.6756, 0.6272)  1 Te 1.88
O (0.6009, 0.4065, 0.5607)  1 Te 1.88
O (0.9932, 0.5063, 0.7400)  3 Te 2.01-2.18
O (0.8016, 0.6702, 0.6269)  1 Te 1.88
O (0.2548, 0.6294, 0.2654)  3 Te 2.02-2.20
O (0.0728, 0.8893, 0.5325)  2 Te 1.98-2.19
O (0.7452, 0.3706, 0.7346)  3 Te 2.02-2.20
O (0.9299, 0.9141, 0.3690)  2 Te 1.98-2.05
O (0.6028, 0.8268, 0.3892)  2 Te 1.95-2.16
O (0.2446, 0.8219, 0.3665)  2 Te 2.01-2.04
O (0.9272, 0.1107, 0.4675)  2 Te 1.98-2.19
O (0.7554, 0.1781, 0.6335)  2 Te 2.01-2.04
O (0.7481, 0.6278, 0.2723)  2 Te 2.01-2.06
O (0.7013, 0.3244, 0.3728)  1 Te 1.88
O (0.3643, 0.0631, 0.4585)  1 Te 1.92
O (0.0806, 0.3970, 0.5697)  1 Te 1.89
O (0.0068, 0.4937, 0.2600)  3 Te 2.01-2.18
O (0.3972, 0.1732, 0.6108)  2 Te 1.95-2.16
O (0.0701, 0.0859, 0.6310)  2 Te 1.98-2.05
O (0.9194, 0.6030, 0.4303)  1 Te 1.89
O (0.6357, 0.9369, 0.5415)  1 Te 1.92
O (0.3991, 0.5935, 0.4393)  1 Te 1.88
O (0.5006, 0.4809, 0.2697)  2 Te 2.00
O (0.4994, 0.5190, 0.7303)  2 Te 2.00
O (0.2519, 0.3722, 0.7277)  2 Te 2.01-2.06
Te (0.4603, 0.7270, 0.3106)  2 O 1.88-2.01
Te (0.2954, 0.9955, 0.6058)  3 O 1.92-1.98
Te (0.5397, 0.2730, 0.6894)  2 O 1.88-2.01
Te (0.9883, 0.6854, 0.2869)  3 O 1.89-2.06
Te (0.7046, 0.0045, 0.3942)  3 O 1.92-1.98
Te (0.2791, 0.4380, 0.2361)  3 O 1.88-2.02
Te (0.7209, 0.5620, 0.7639)  3 O 1.88-2.02
Te (0.0117, 0.3146, 0.7131)  3 O 1.89-2.06
Te (0.1463, 0.0064, 0.3888)  4 O 1.98-2.19
Te (0.8537, 0.9936, 0.6112)  4 O 1.98-2.19
Te (0.7546, 0.4412, 0.2377)  3 O 1.88-2.01
Te (0.2454, 0.5588, 0.7623)  3 O 1.88-2.01

---

Entry 2:
The following is a PBE calculation of a geometry-optimized Cd3Te2Cl2O6 structure, from OQMD via LeMat-Bulk.

The symmetry is C2/m (12).

a = 6.1220 Å, b = 6.1220 Å, c = 7.7228 Å
α = 110.90°, β = 110.90°, γ = 69.26°
With the nearest neighbours (Å) after each atom.
Sites, in units of the cell vectors:
O (0.6044, 0.2316, 0.6708)  1 Te 1.90
O (0.8544, 0.8544, 0.3765)  1 Te 1.87
O (0.3956, 0.7684, 0.3292)  1 Te 1.90
O (0.2316, 0.6044, 0.6708)  1 Te 1.90
O (0.1456, 0.1456, 0.6235)  1 Te 1.87
O (0.7684, 0.3956, 0.3292)  1 Te 1.90
Cd (0.5000, 0.5000, 0.5000)  4 O 2.25
Cd (0.9587, 0.9587, 0.7136)  4 O 2.22-2.35
Cd (0.0413, 0.0413, 0.2864)  4 O 2.22-2.35
Cl (0.7931, 0.7931, 0.8950)  1 Cd 2.60
Cl (0.2069, 0.2069, 0.1050)  1 Cd 2.60
Te (0.3464, 0.3464, 0.7897)  3 O 1.87-1.90
Te (0.6536, 0.6536, 0.2103)  3 O 1.87-1.90

---

Entry 3:
The following is a PBE calculation of a geometry-optimized Cd2P2Cl structure, from OQMD via LeMat-Bulk.

The symmetry is Iba2 (45).

a = 7.0161 Å, b = 7.0161 Å, c = 7.0161 Å
α = 116.42°, β = 85.06°, γ = 129.88°
With the nearest neighbours (Å) after each atom.
Sites, in units of the cell vectors:
P (0.8616, 0.2632, 0.6141)  1 P 2.20
P (0.6491, 0.2474, 0.3859)  1 P 2.20
P (0.3616, 0.7474, 0.5984)  1 P 2.20
P (0.1491, 0.7632, 0.4016)  1 P 2.20
Cd (0.5692, 0.9288, 0.9909)  2 P 2.48-2.55, 2 Cl 2.74
Cd (0.0692, 0.0782, 0.6404)  2 P 2.48-2.55, 2 Cl 2.74
Cd (0.9378, 0.5782, 0.0091)  2 P 2.48-2.55, 2 Cl 2.74
Cd (0.4378, 0.4288, 0.3596)  2 P 2.48-2.55, 2 Cl 2.74
Cl (0.5037, 0.5037, 0.0000)  4 Cd 2.74, 2 Cl 2.97
Cl (0.0037, 0.0037, 0.0000)  4 Cd 2.74, 2 Cl 2.97

---

Entry 4:
The following is a PBE calculation of a geometry-optimized Cd7P4Cl6 structure, from OQMD via LeMat-Bulk.

The symmetry is Pa-3 (205).

a = 12.0241 Å, b = 12.0241 Å, c = 12.0241 Å
α = 90.00°, β = 90.00°, γ = 90.00°
With the nearest neighbours (Å) after each atom.
Sites, in units of the cell vectors:
Cd (0.2242, 0.7673, 0.5153)  2 P 2.50, 1 Cl 2.77
Cd (0.2758, 0.2673, 0.5153)  2 P 2.50, 1 Cl 2.77
Cd (0.9847, 0.7242, 0.7673)  2 P 2.50, 1 Cl 2.77
Cd (0.5153, 0.2242, 0.7673)  2 P 2.50, 1 Cl 2.77
Cd (0.5153, 0.2758, 0.2673)  2 P 2.50, 1 Cl 2.77
Cd (0.7673, 0.5153, 0.2242)  2 P 2.50, 1 Cl 2.77
Cd (0.7327, 0.4847, 0.7242)  2 P 2.50, 1 Cl 2.77
Cd (0.7327, 0.0153, 0.2242)  2 P 2.50, 1 Cl 2.77
Cd (0.0153, 0.2758, 0.2327)  2 P 2.50, 1 Cl 2.77
Cd (0.2242, 0.7327, 0.0153)  2 P 2.50, 1 Cl 2.77
Cd (0.5000, 0.0000, 0.5000)  6 Cl 2.69
Cd (0.5000, 0.5000, 0.0000)  6 Cl 2.69
Cd (0.4847, 0.7758, 0.2327)  2 P 2.50, 1 Cl 2.77
Cd (0.7758, 0.2327, 0.4847)  2 P 2.50, 1 Cl 2.77
Cd (0.2758, 0.2327, 0.0153)  2 P 2.50, 1 Cl 2.77
Cd (0.0153, 0.2242, 0.7327)  2 P 2.50, 1 Cl 2.77
Cd (0.7242, 0.7673, 0.9847)  2 P 2.50, 1 Cl 2.77
Cd (0.2673, 0.9847, 0.7758)  2 P 2.50, 1 Cl 2.77
Cd (0.2327, 0.4847, 0.7758)  2 P 2.50, 1 Cl 2.77
Cd (0.9847, 0.7758, 0.2673)  2 P 2.50, 1 Cl 2.77
Cd (0.7758, 0.2673, 0.9847)  2 P 2.50, 1 Cl 2.77
Cd (0.7242, 0.7327, 0.4847)  2 P 2.50, 1 Cl 2.77
Cd (0.4847, 0.7242, 0.7327)  2 P 2.50, 1 Cl 2.77
Cd (0.7673, 0.9847, 0.7242)  2 P 2.50, 1 Cl 2.77
Cd (0.0000, 0.0000, 0.0000)  6 Cl 2.69
Cd (0.0000, 0.5000, 0.5000)  6 Cl 2.69
Cd (0.2673, 0.5153, 0.2758)  2 P 2.50, 1 Cl 2.77
Cd (0.2327, 0.0153, 0.2758)  2 P 2.50, 1 Cl 2.77
P (0.6822, 0.8178, 0.1822)  1 P 2.19
P (0.2871, 0.7129, 0.2129)  1 P 2.19
P (0.2129, 0.2129, 0.2129)  1 P 2.19
P (0.8178, 0.3178, 0.1822)  1 P 2.19
P (0.3178, 0.1822, 0.8178)  1 P 2.19
P (0.1822, 0.8178, 0.3178)  1 P 2.19
P (0.3178, 0.3178, 0.3178)  1 P 2.19
P (0.2871, 0.7871, 0.7129)  1 P 2.19
P (0.7129, 0.2871, 0.7871)  1 P 2.19
P (0.7129, 0.2129, 0.2871)  1 P 2.19
P (0.7871, 0.7129, 0.2871)  1 P 2.19
P (0.8178, 0.1822, 0.6822)  1 P 2.19
P (0.2129, 0.2871, 0.7129)  1 P 2.19
P (0.6822, 0.6822, 0.6822)  1 P 2.19
P (0.1822, 0.6822, 0.8178)  1 P 2.19
P (0.7871, 0.7871, 0.7871)  1 P 2.19
Cl (0.2805, 0.4631, 0.0207)  2 Cd 2.69-2.77
Cl (0.5369, 0.5207, 0.2195)  2 Cd 2.69-2.77
Cl (0.7805, 0.0369, 0.9793)  2 Cd 2.69-2.77
Cl (0.0207, 0.2805, 0.4631)  2 Cd 2.69-2.77
Cl (0.5207, 0.2195, 0.5369)  2 Cd 2.69-2.77
Cl (0.9793, 0.7805, 0.0369)  2 Cd 2.69-2.77
Cl (0.0207, 0.2195, 0.9631)  2 Cd 2.69-2.77
Cl (0.4631, 0.4793, 0.7805)  2 Cd 2.69-2.77
Cl (0.4631, 0.0207, 0.2805)  2 Cd 2.69-2.77
Cl (0.9793, 0.7195, 0.5369)  2 Cd 2.69-2.77
Cl (0.2195, 0.5369, 0.5207)  2 Cd 2.69-2.77
Cl (0.7195, 0.9631, 0.4793)  2 Cd 2.69-2.77
Cl (0.4793, 0.7195, 0.9631)  2 Cd 2.69-2.77
Cl (0.7195, 0.5369, 0.9793)  2 Cd 2.69-2.77
Cl (0.7805, 0.4631, 0.4793)  2 Cd 2.69-2.77
Cl (0.2805, 0.0369, 0.5207)  2 Cd 2.69-2.77
Cl (0.4793, 0.7805, 0.4631)  2 Cd 2.69-2.77
Cl (0.0369, 0.5207, 0.2805)  2 Cd 2.69-2.77
Cl (0.0369, 0.9793, 0.7805)  2 Cd 2.69-2.77
Cl (0.5369, 0.9793, 0.7195)  2 Cd 2.69-2.77
Cl (0.5207, 0.2805, 0.0369)  2 Cd 2.69-2.77
Cl (0.9631, 0.0207, 0.2195)  2 Cd 2.69-2.77
Cl (0.2195, 0.9631, 0.0207)  2 Cd 2.69-2.77
Cl (0.9631, 0.4793, 0.7195)  2 Cd 2.69-2.77

---

Entry 5:
The following is a PBE calculation of a geometry-optimized Rb2Cd2PdCl8 structure, from OQMD via LeMat-Bulk.

The symmetry is C2/m (12).

a = 6.7942 Å, b = 6.7942 Å, c = 9.4356 Å
α = 105.33°, β = 105.33°, γ = 60.38°
With the nearest neighbours (Å) after each atom.
Sites, in units of the cell vectors:
Cl (0.6536, 0.6536, 0.4938)  1 Cd 2.44
Cl (0.9063, 0.9063, 0.3174)  2 Cd 2.49-2.77
Cl (0.6412, 0.1102, 0.8511)  1 Pd 2.33
Cl (0.3588, 0.8898, 0.1488)  1 Pd 2.33
Cl (0.8898, 0.3588, 0.1488)  1 Pd 2.33
Cl (0.0937, 0.0937, 0.6826)  2 Cd 2.49-2.77
Cl (0.3464, 0.3464, 0.5062)  1 Cd 2.44
Cl (0.1102, 0.6412, 0.8511)  1 Pd 2.33
Cd (0.1286, 0.1286, 0.4052)  2 Cl 2.44-2.49
Cd (0.8714, 0.8714, 0.5948)  2 Cl 2.44-2.49
Rb (0.6078, 0.6078, 0.8204)  10 Cl 3.29-3.64
Rb (0.3922, 0.3922, 0.1796)  10 Cl 3.29-3.64
Pd (0.0000, 0.0000, 0.0000)  4 Cl 2.33

---

Entry 6:
The following is a PBE calculation of a geometry-optimized Tl2CdPdCl6 structure, from OQMD via LeMat-Bulk.

The symmetry is Fm-3m (225).

a = 7.2043 Å, b = 7.2043 Å, c = 7.2043 Å
α = 60.00°, β = 60.00°, γ = 60.00°
With the nearest neighbours (Å) after each atom.
Sites, in units of the cell vectors:
Cl (0.2433, 0.7567, 0.2433)  1 Pd 2.48, 1 Cd 2.62
Cl (0.7567, 0.7567, 0.2433)  1 Pd 2.48, 1 Cd 2.62
Cl (0.2433, 0.2433, 0.7567)  1 Pd 2.48, 1 Cd 2.62
Cl (0.7567, 0.2433, 0.7567)  1 Pd 2.48, 1 Cd 2.62
Cl (0.7567, 0.2433, 0.2433)  1 Pd 2.48, 1 Cd 2.62
Cl (0.2433, 0.7567, 0.7567)  1 Pd 2.48, 1 Cd 2.62
Tl (0.2500, 0.2500, 0.2500)  12 Cl 3.60
Tl (0.7500, 0.7500, 0.7500)  12 Cl 3.60
Pd (0.0000, 0.0000, 0.0000)  6 Cl 2.48
Cd (0.5000, 0.5000, 0.5000)  6 Cl 2.62

---

Entry 7:
The following is a PBE calculation of a geometry-optimized Rb3CdCl6 structure, from OQMD via LeMat-Bulk.

The symmetry is Fm-3m (225).

a = 7.8673 Å, b = 7.8673 Å, c = 7.8673 Å
α = 60.00°, β = 60.00°, γ = 60.00°
With the nearest neighbours (Å) after each atom.
Sites, in units of the cell vectors:
Cl (0.2307, 0.7693, 0.7693)  1 Cd 2.57
Cl (0.7693, 0.2307, 0.7693)  1 Cd 2.57
Cl (0.2307, 0.7693, 0.2307)  1 Cd 2.57
Cl (0.2307, 0.2307, 0.7693)  1 Cd 2.57
Cl (0.7693, 0.2307, 0.2307)  1 Cd 2.57
Cl (0.7693, 0.7693, 0.2307)  1 Cd 2.57
Cd (0.0000, 0.0000, 0.0000)  6 Cl 2.57
Rb (0.2500, 0.2500, 0.2500)  12 Cl 3.94
Rb (0.7500, 0.7500, 0.7500)  12 Cl 3.94
Rb (0.5000, 0.5000, 0.5000)  6 Cl 3.00

---

Entry 8:
The following is a PBE calculation of a geometry-optimized Rb2CdCl4 structure, from OQMD via LeMat-Bulk.

The symmetry is P2_1/m (11).

a = 7.5413 Å, b = 7.3612 Å, c = 9.2245 Å
α = 90.00°, β = 108.86°, γ = 90.00°
With the nearest neighbours (Å) after each atom.
Sites, in units of the cell vectors:
Rb (0.7945, 0.7500, 0.4514)  6 Cl 3.27-3.47
Rb (0.2770, 0.2500, 0.0699)  6 Cl 3.27-3.48
Rb (0.2055, 0.2500, 0.5486)  6 Cl 3.27-3.47
Rb (0.7230, 0.7500, 0.9301)  6 Cl 3.27-3.48
Cl (0.9951, 0.5050, 0.7643)  1 Cd 2.50
Cl (0.4172, 0.7500, 0.5743)  1 Cd 2.48
Cl (0.0049, 0.4950, 0.2357)  1 Cd 2.50
Cl (0.5828, 0.2500, 0.4257)  1 Cd 2.48
Cl (0.0049, 0.0050, 0.2357)  1 Cd 2.50
Cl (0.4394, 0.7500, 0.1336)  1 Cd 2.47
Cl (0.9951, 0.9950, 0.7643)  1 Cd 2.50
Cl (0.5606, 0.2500, 0.8664)  1 Cd 2.47
Cd (0.2359, 0.7500, 0.2965)  4 Cl 2.47-2.50
Cd (0.7641, 0.2500, 0.7035)  4 Cl 2.47-2.50

---

Entry 9:
The following is a PBE calculation of a geometry-optimized Rb4CdCl6 structure, from OQMD via LeMat-Bulk.

The symmetry is R-3c (167).

a = 8.9141 Å, b = 8.9141 Å, c = 8.9141 Å
α = 90.87°, β = 89.13°, γ = 90.87°
With the nearest neighbours (Å) after each atom.
Sites, in units of the cell vectors:
Cl (0.7135, 0.0711, 0.0604)  1 Cd 2.68
Cl (0.2865, 0.9289, 0.9396)  1 Cd 2.68
Cl (0.9289, 0.9396, 0.7135)  1 Cd 2.68
Cl (0.2135, 0.4396, 0.4289)  1 Cd 2.68
Cl (0.9396, 0.7135, 0.0711)  1 Cd 2.68
Cl (0.0604, 0.2865, 0.9289)  1 Cd 2.68
Cl (0.5711, 0.2135, 0.4396)  1 Cd 2.68
Cl (0.7865, 0.5604, 0.5711)  1 Cd 2.68
Cl (0.4289, 0.7865, 0.5604)  1 Cd 2.68
Cl (0.4396, 0.4289, 0.7865)  1 Cd 2.68
Cl (0.0711, 0.0604, 0.2865)  1 Cd 2.68
Cl (0.5604, 0.5711, 0.2135)  1 Cd 2.68
Cd (0.0000, 0.0000, 0.0000)  6 Cl 2.68
Cd (0.5000, 0.5000, 0.5000)  6 Cl 2.68
Rb (0.8771, 0.3771, 0.2500)  8 Cl 3.36-3.50
Rb (0.2500, 0.7500, 0.2500)  6 Cl 3.22
Rb (0.6229, 0.7500, 0.8771)  8 Cl 3.36-3.50
Rb (0.7500, 0.2500, 0.7500)  6 Cl 3.22
Rb (0.3771, 0.2500, 0.1229)  8 Cl 3.36-3.50
Rb (0.2500, 0.1229, 0.6229)  8 Cl 3.36-3.50
Rb (0.7500, 0.8771, 0.3771)  8 Cl 3.36-3.50
Rb (0.1229, 0.6229, 0.7500)  8 Cl 3.36-3.50

---

Entry 10:
The following is a PBE calculation of a geometry-optimized Rb3Cd2Cl7 structure, from OQMD via LeMat-Bulk.

The symmetry is I4/mmm (139).

a = 13.6956 Å, b = 13.6952 Å, c = 5.2515 Å
α = 78.95°, β = 78.94°, γ = 22.11°
With the nearest neighbours (Å) after each atom.
Sites, in units of the cell vectors:
Rb (0.3201, 0.3201, 0.6799)  5 Cl 3.22-3.44
Rb (0.5000, 0.5000, 0.5000)  12 Cl 3.64-3.71
Rb (0.6799, 0.6799, 0.3201)  5 Cl 3.22-3.44
Cl (0.5956, 0.5957, 0.9044)  2 Cd 2.63
Cl (0.1981, 0.1981, 0.8019)  1 Cd 2.58
Cl (0.9043, 0.9044, 0.5956)  2 Cd 2.63
Cl (0.0956, 0.0956, 0.4044)  2 Cd 2.63
Cl (0.4044, 0.4044, 0.0956)  2 Cd 2.63
Cl (0.8019, 0.8019, 0.1981)  1 Cd 2.58
Cl (0.0000, 0.0000, 0.0000)  2 Cd 2.65
Cd (0.8996, 0.8996, 0.1004)  6 Cl 2.58-2.65
Cd (0.1004, 0.1004, 0.8996)  6 Cl 2.58-2.65

---

Entry 11:
The following is a PBE calculation of a geometry-optimized RbCdCl3 structure, from OQMD via LeMat-Bulk.

The symmetry is Pnma (62).

a = 9.0158 Å, b = 15.0524 Å, c = 4.0661 Å
α = 90.00°, β = 90.00°, γ = 90.00°
With the nearest neighbours (Å) after each atom.
Sites, in units of the cell vectors:
Rb (0.4284, 0.8253, 0.7500)  8 Cl 3.30-3.51
Rb (0.0716, 0.3253, 0.2500)  8 Cl 3.30-3.51
Rb (0.5716, 0.1747, 0.2500)  8 Cl 3.30-3.51
Rb (0.9284, 0.6747, 0.7500)  8 Cl 3.30-3.51
Cl (0.8310, 0.5046, 0.2500)  2 Cd 2.68
Cl (0.6690, 0.0046, 0.7500)  2 Cd 2.68
Cl (0.0267, 0.9000, 0.7500)  3 Cd 2.68-2.75
Cl (0.7157, 0.7907, 0.2500)  1 Cd 2.53
Cl (0.1690, 0.4954, 0.7500)  2 Cd 2.68
Cl (0.7843, 0.2907, 0.7500)  1 Cd 2.53
Cl (0.3310, 0.9954, 0.2500)  2 Cd 2.68
Cl (0.9733, 0.1000, 0.2500)  3 Cd 2.68-2.75
Cl (0.4733, 0.4000, 0.2500)  3 Cd 2.68-2.75
Cl (0.2843, 0.2093, 0.7500)  1 Cd 2.53
Cl (0.2157, 0.7093, 0.2500)  1 Cd 2.53
Cl (0.5267, 0.6000, 0.7500)  3 Cd 2.68-2.75
Cd (0.3337, 0.5570, 0.2500)  6 Cl 2.53-2.75
Cd (0.6663, 0.4430, 0.7500)  6 Cl 2.53-2.75
Cd (0.8337, 0.9430, 0.2500)  6 Cl 2.53-2.75
Cd (0.1663, 0.0570, 0.7500)  6 Cl 2.53-2.75

---

Entry 12:
The following is a PBE calculation of a geometry-optimized Rb2Cd3Cl8 structure, from OQMD via LeMat-Bulk.

The symmetry is C2/m (12).

a = 8.7549 Å, b = 8.7549 Å, c = 6.9124 Å
α = 105.98°, β = 105.98°, γ = 53.89°
With the nearest neighbours (Å) after each atom.
Sites, in units of the cell vectors:
Cl (0.0978, 0.0978, 0.9021)  3 Cd 2.73-2.76
Cl (0.3253, 0.8688, 0.3894)  2 Cd 2.62-2.66
Cl (0.9022, 0.9022, 0.0979)  3 Cd 2.73-2.76
Cl (0.3894, 0.3894, 0.0282)  2 Cd 2.63
Cl (0.6747, 0.1312, 0.6106)  2 Cd 2.62-2.66
Cl (0.8688, 0.3253, 0.3894)  2 Cd 2.62-2.66
Cl (0.1312, 0.6747, 0.6106)  2 Cd 2.62-2.66
Cl (0.6106, 0.6106, 0.9718)  2 Cd 2.63
Rb (0.7321, 0.7321, 0.6741)  6 Cl 3.20-3.36
Rb (0.2679, 0.2679, 0.3259)  6 Cl 3.20-3.36
Cd (0.7419, 0.2581, 0.0000)  6 Cl 2.63-2.76
Cd (0.0000, 0.0000, 0.5000)  6 Cl 2.62-2.73
Cd (0.2581, 0.7419, 0.0000)  6 Cl 2.63-2.76

---

| no. | energy (eV for the cell shown) |
| --- | --- |
| 1 | -256.71 |
| 2 | -56.25 |
| 3 | -29.51 |
| 4 | -200.27 |
| 5 | -39.42 |
| 6 | -29.90 |
| 7 | -28.51 |
| 8 | -42.81 |
| 9 | -69.89 |
| 10 | -36.05 |
| 11 | -58.87 |
| 12 | -37.34 |